Entry 1:
LaScCrGe2 after structural relaxation, computed with PBEsol.

Output
**Energy relative to the elements**: -4.94 kcal/mol of atoms
**Mass density**: 6256 kg/m3

Cell: 4.6943 4.6943 4.5911 Å, 90.00 90.00 90.00°
Space group P4/mmm (No. 123)
Unique sites:
La (0.0000, 0.0000, 0.0000) [1 per cell]
Sc (0.5000, 0.5000, 0.0000) [1 per cell]
Cr (0.5000, 0.5000, 0.5000) [1 per cell]
Ge (0.0000, 0.5000, 0.5000) [2 per cell]


Entry 2:
BaAl2Ag after structural relaxation, computed with PBEsol.

Output
**Energy relative to the elements**: -4.73 kcal/mol of atoms
**Mass density**: 4778 kg/m3

Cell: 4.4364 4.4364 18.2986 Å, 90.00 90.00 120.00°
Space group R-3m (No. 166, hexagonal axes)
Unique sites:
Ba (0.0000, 0.0000, 0.0000) [3 per cell]
Al (0.0000, 0.0000, 0.1997) [6 per cell]
Ag (0.0000, 0.0000, 0.5000) [3 per cell]


Entry 3:
LiP5W3O19 after structural relaxation, computed with PBEsol.

Output
**Energy relative to the elements, uncorrected**: -2.010 eV/atom
**Mass density**: 3963 kg/m3

Cell: 9.6626 14.2985 6.4711 Å, 90.00 107.53 90.00°
Space group Cm (No. 8)
Unique sites:
Li (0.0000, 0.0000, 0.0000) [2 per cell]
P (0.0286, 0.3527, 0.9837) [4 per cell]
P (0.3113, 0.0000, 0.3961) [2 per cell]
P (0.4812, 0.3149, 0.7144) [4 per cell]
W (0.1159, 0.3737, 0.5335) [4 per cell]
W (0.2277, 0.0000, 0.8511) [2 per cell]
O (0.0521, 0.0913, 0.7990) [4 per cell]
O (0.0535, 0.2382, 0.5712) [4 per cell]
O (0.1093, 0.3544, 0.2236) [4 per cell]
O (0.1271, 0.3859, 0.8524) [4 per cell]
O (0.1573, 0.5000, 0.5264) [2 per cell]
O (0.2078, 0.0000, 0.5365) [2 per cell]
O (0.2089, 0.0000, 0.1591) [2 per cell]
O (0.3205, 0.3277, 0.6081) [4 per cell]
O (0.3818, 0.0995, 0.9229) [4 per cell]
O (0.4036, 0.0897, 0.4382) [4 per cell]
O (0.4978, 0.2564, 0.9322) [4 per cell]


> mass density of number 1 (LaScCrGe2)?

6256 kg/m3